The following is a DFT calculation (PBE-GGA) of Tl3CoW after structural relaxation.

Unit cell a=4.909 b=4.909 c=4.909 alpha=90.00 beta=90.00 gamma=90.00
Atoms (fractional coordinates):
1 Tl 0.000 0.000 0.500
2 Tl 0.000 0.500 0.000
3 Tl 0.500 0.000 0.000
4 Co 0.000 0.000 0.000
5 W 0.500 0.500 0.500

Output
The calculation puts the formation energy at 34.945 kcal/mol of atoms.